DFT (GGA-PBE) results for a geometry-optimized YH5Pd4 structure.

Lattice parameters (Å, degrees): 5.5295 7.9550 5.0943 90.00 90.00 90.00
Positions (direct):
Y 0.2500 0.2500 0.1664
Y 0.7500 0.7500 0.8336
H 0.0188 0.5796 0.1465
H 0.0188 0.9204 0.1465
H 0.2500 0.7500 0.6356
H 0.4812 0.5796 0.1465
H 0.4812 0.9204 0.1465
H 0.5188 0.0796 0.8535
H 0.5188 0.4204 0.8535
H 0.7500 0.2500 0.3644
H 0.9812 0.0796 0.8535
H 0.9812 0.4204 0.8535
Pd 0.0100 0.7500 0.3668
Pd 0.2500 0.5623 0.8609
Pd 0.2500 0.9377 0.8609
Pd 0.4900 0.7500 0.3668
Pd 0.5100 0.2500 0.6332
Pd 0.7500 0.0623 0.1391
Pd 0.7500 0.4377 0.1391
Pd 0.9900 0.2500 0.6332

Calculated values
Total DFT energy (no corrections): -4.652 eV/atom
Space-group type: Pmmn